Record 1
{"formula": "AlPBr4", "functional": "PBE", "state": "relaxed", "cell": [[5.7467, 0.0000, 0.0000], [0.0000, 5.7467, 0.0000], [0.0000, 0.0000, 13.7113]], "species": ["Al", "Al", "P", "P", "Br", "Br", "Br", "Br", "Br", "Br", "Br", "Br"], "fractional_positions": [[0.0000, 0.5000, 0.2500], [0.5000, 0.0000, 0.7500], [0.0000, 0.0000, 0.0000], [0.0000, 0.0000, 0.5000], [0.2328, 0.2632, 0.1513], [0.2328, 0.7368, 0.3487], [0.2632, 0.2328, 0.6513], [0.2632, 0.7672, 0.8487], [0.7368, 0.2328, 0.8487], [0.7368, 0.7672, 0.6513], [0.7672, 0.2632, 0.3487], [0.7672, 0.7368, 0.1513]], "energy_ev_per_atom": -2.958, "volume_a3_per_cell": 452.8, "magmom_total_mub_per_atom": 0.333, "raw_formation_energy_ev_per_atom": -0.317, "de_polymorph_ev_per_fu": 0.000}

Record 2
{"formula": "Cs2SiBi2", "functional": "PBE", "state": "relaxed", "cell": [[7.8515, 0.0000, 0.0000], [0.0000, 7.8515, 0.0000], [0.0000, 0.0000, 6.4665]], "species": ["Cs", "Cs", "Cs", "Cs", "Si", "Si", "Bi", "Bi", "Bi", "Bi"], "fractional_positions": [[0.1738, 0.3262, 0.0000], [0.3262, 0.8262, 0.0000], [0.6738, 0.1738, 0.0000], [0.8262, 0.6738, 0.0000], [0.0000, 0.0000, 0.5000], [0.5000, 0.5000, 0.5000], [0.1415, 0.6415, 0.5000], [0.3585, 0.1415, 0.5000], [0.6415, 0.8585, 0.5000], [0.8585, 0.3585, 0.5000]], "energy_ev_per_atom": -2.972, "volume_a3_per_cell": 398.6, "magmom_total_mub_per_atom": 0.000, "raw_formation_energy_ev_per_atom": 0.006}

Record 3
{"formula": "Tb3Ga2Co7", "functional": "PBE", "state": "relaxed", "cell": [[2.5758, 1.4872, 7.8621], [-2.5758, 1.4872, 7.8621], [0.0000, -2.9743, 7.8621]], "species": ["Tb", "Tb", "Tb", "Ga", "Ga", "Co", "Co", "Co", "Co", "Co", "Co", "Co"], "fractional_positions": [[0.0000, 0.0000, 0.0000], [0.1401, 0.1401, 0.1401], [0.8599, 0.8599, 0.8599], [0.3330, 0.3330, 0.3330], [0.6670, 0.6670, 0.6670], [0.0849, 0.5824, 0.5824], [0.4176, 0.4176, 0.9151], [0.4176, 0.9151, 0.4176], [0.5000, 0.5000, 0.5000], [0.5824, 0.0849, 0.5824], [0.5824, 0.5824, 0.0849], [0.9151, 0.4176, 0.4176]], "energy_ev_per_atom": -6.100, "formation_enthalpy_0k_ev_per_atom": -0.293, "volume_a3_per_cell": 180.7, "magmom_total_mub_per_atom": 0.410}

Record 4
{"formula": "Y3Ga4Ru2", "functional": "PBE", "state": "relaxed", "cell": [[5.2493, -2.1828, 0.0000], [5.2493, 2.1828, 0.0000], [-2.5631, 0.0000, 7.9788]], "species": ["Y", "Y", "Y", "Ga", "Ga", "Ga", "Ga", "Ru", "Ru"], "fractional_positions": [[0.0000, 0.0000, 0.0000], [0.3684, 0.3684, 0.3082], [0.6316, 0.6316, 0.6918], [0.0920, 0.0920, 0.4046], [0.2821, 0.2821, 0.9281], [0.7179, 0.7179, 0.0719], [0.9080, 0.9080, 0.5954], [0.3163, 0.3163, 0.6449], [0.6837, 0.6837, 0.3551]], "energy_ev_per_atom": -6.157, "formation_enthalpy_0k_ev_per_atom": -0.596, "volume_a3_per_cell": 182.8, "magmom_total_mub_per_atom": 0.000, "de_polymorph_ev_per_fu": 0.000}

Record 5
{"formula": "TlCuPb2", "functional": "PBE", "state": "relaxed", "cell": [[5.5989, -1.7710, 0.0000], [5.5989, 1.7710, 0.0000], [-3.1147, 0.0000, 5.4807]], "species": ["Tl", "Cu", "Pb", "Pb"], "fractional_positions": [[0.0000, 0.0000, 0.0000], [0.7104, 0.7104, 0.0060], [0.1884, 0.1884, 0.6459], [0.3829, 0.3829, 0.3871]], "energy_ev_per_atom": -3.317, "formation_enthalpy_0k_ev_per_atom": 0.153, "volume_a3_per_cell": 108.7, "magmom_total_mub_per_atom": 0.000}

Record 6
{"formula": "CeLuCdOs", "functional": "PBE", "state": "relaxed", "cell": [[0.0000, 3.5470, 3.5470], [3.5470, 0.0000, 3.5470], [3.5470, 3.5470, 0.0000]], "species": ["Ce", "Lu", "Cd", "Os"], "fractional_positions": [[0.0000, 0.0000, 0.0000], [0.5000, 0.5000, 0.5000], [0.2500, 0.2500, 0.2500], [0.7500, 0.7500, 0.7500]], "energy_ev_per_atom": -5.811, "formation_enthalpy_0k_ev_per_atom": -0.161, "volume_a3_per_cell": 89.3, "magmom_total_mub_per_atom": 0.000}

Record 7
{"formula": "Ti2NbPt2", "functional": "PBE", "state": "relaxed", "cell": [[7.5349, 0.0000, 0.0000], [0.0000, 7.5349, 0.0000], [0.0000, 0.0000, 2.9133]], "species": ["Ti", "Ti", "Ti", "Ti", "Nb", "Nb", "Pt", "Pt", "Pt", "Pt"], "fractional_positions": [[0.1585, 0.3415, 0.0000], [0.3415, 0.8415, 0.0000], [0.6585, 0.1585, 0.0000], [0.8415, 0.6585, 0.0000], [0.0000, 0.0000, 0.0000], [0.5000, 0.5000, 0.0000], [0.1413, 0.6413, 0.5000], [0.3587, 0.1413, 0.5000], [0.6413, 0.8587, 0.5000], [0.8587, 0.3587, 0.5000]], "energy_ev_per_atom": -8.211, "formation_enthalpy_0k_ev_per_atom": -0.623, "volume_a3_per_cell": 165.4, "magmom_total_mub_per_atom": 0.000, "de_polymorph_ev_per_fu": 0.114}

Record 8
{"formula": "Ce4ScTe5", "functional": "PBE", "state": "relaxed", "cell": [[-2.2176, 2.2176, 15.6016], [2.2176, -2.2176, 15.6016], [2.2176, 2.2176, -15.6016]], "species": ["Ce", "Ce", "Ce", "Ce", "Sc", "Te", "Te", "Te", "Te", "Te"], "fractional_positions": [[0.1001, 0.1001, 0.0000], [0.3029, 0.3029, 0.0000], [0.6971, 0.6971, 0.0000], [0.8999, 0.8999, 0.0000], [0.5000, 0.5000, 0.0000], [0.0000, 0.0000, 0.0000], [0.2011, 0.2011, 0.0000], [0.4056, 0.4056, 0.0000], [0.5944, 0.5944, 0.0000], [0.7989, 0.7989, 0.0000]], "energy_ev_per_atom": -5.864, "volume_a3_per_cell": 306.9, "magmom_total_mub_per_atom": 0.024, "raw_formation_energy_ev_per_atom": -1.286}

Record 9
{"formula": "YFeRu2", "functional": "PBE", "state": "relaxed", "cell": [[-2.0283, 2.0283, 3.9803], [2.0283, -2.0283, 3.9803], [2.0283, 2.0283, -3.9803]], "species": ["Y", "Fe", "Ru", "Ru"], "fractional_positions": [[0.0000, 0.0000, 0.0000], [0.2500, 0.7500, 0.5000], [0.5000, 0.5000, 0.0000], [0.7500, 0.2500, 0.5000]], "energy_ev_per_atom": -8.109, "formation_enthalpy_0k_ev_per_atom": 0.261, "volume_a3_per_cell": 65.5, "magmom_total_mub_per_atom": 0.506, "de_polymorph_ev_per_fu": 0.759}

Record 10
{"formula": "Re2TcAs", "functional": "PBE", "state": "relaxed", "cell": [[1.4197, 0.8197, 8.5612], [-1.4197, 0.8197, 8.5612], [0.0000, -1.6394, 8.5612]], "species": ["Re", "Re", "Tc", "As"], "fractional_positions": [[0.0000, 0.0000, 0.0000], [0.2489, 0.2489, 0.2489], [0.4972, 0.4972, 0.4972], [0.7500, 0.7500, 0.7500]], "energy_ev_per_atom": -9.841, "formation_enthalpy_0k_ev_per_atom": 0.137, "volume_a3_per_cell": 59.8, "magmom_total_mub_per_atom": 0.000}

Record 11
{"formula": "CrAg2Os", "functional": "PBE", "state": "relaxed", "cell": [[1.3643, 0.7877, 9.6114], [-1.3643, 0.7877, 9.6114], [0.0000, -1.5753, 9.6114]], "species": ["Cr", "Ag", "Ag", "Os"], "fractional_positions": [[0.0000, 0.0000, 0.0000], [0.2520, 0.2520, 0.2520], [0.7480, 0.7480, 0.7480], [0.5000, 0.5000, 0.5000]], "energy_ev_per_atom": -5.934, "formation_enthalpy_0k_ev_per_atom": 0.705, "volume_a3_per_cell": 62.0, "magmom_total_mub_per_atom": 0.425, "de_polymorph_ev_per_fu": 1.561}

Record 12
{"formula": "Nd2CuNi2", "functional": "PBE", "state": "relaxed", "cell": [[4.6053, -2.7283, 0.0000], [4.6053, 2.7283, 0.0000], [-1.9297, 0.0000, 7.6957]], "species": ["Nd", "Nd", "Nd", "Nd", "Cu", "Cu", "Ni", "Ni", "Ni", "Ni"], "fractional_positions": [[0.0122, 0.2873, 0.1505], [0.2873, 0.0122, 0.6505], [0.7127, 0.9878, 0.3495], [0.9878, 0.7127, 0.8495], [0.3576, 0.6424, 0.2500], [0.6424, 0.3576, 0.7500], [0.2351, 0.4997, 0.4944], [0.4997, 0.2351, 0.9944], [0.5003, 0.7649, 0.0056], [0.7649, 0.5003, 0.5056]], "energy_ev_per_atom": -5.311, "formation_enthalpy_0k_ev_per_atom": -0.272, "volume_a3_per_cell": 193.4, "magmom_total_mub_per_atom": 0.000}